1.
The following is a GGA-PBE calculation of a relaxed structure of Sm6CdTe3As2, from the Alexandria database.

```
data_Sm6CdTe3As2
_chemical_formula_sum 'Sm6 Cd1 Te3 As2'
_cell_length_a 4.305
_cell_length_b 8.867
_cell_length_c 9.768
_cell_angle_alpha 103.15
_cell_angle_beta 102.73
_cell_angle_gamma 90.00
_symmetry_space_group_name_H-M 'P 1'
_symmetry_Int_Tables_number 1
_symmetry_space_group_name_Hall 'P 1'
loop_
_atom_site_label
_atom_site_fract_x
_atom_site_fract_y
_atom_site_fract_z
Sm1 0.332 0.894 0.664
Sm2 0.673 0.568 0.347
Sm3 0.668 0.106 0.336
Sm4 0.008 0.255 0.017
Sm5 0.992 0.745 0.983
Sm6 0.327 0.432 0.653
Cd1 0.500 0.000 0.000
Te1 0.500 0.500 0.000
Te2 0.835 0.167 0.670
Te3 0.165 0.833 0.330
As1 0.832 0.663 0.663
As2 0.168 0.337 0.337
```

Its formation energy from raw total energies is -1.263 eV/atom. The calculation puts the density of states at the Fermi level at 6.197 states/eV/f.u. The calculation puts the uncorrected energy at -5.259 eV per atom. As for the total moment: 0.00 μB/f.u.

2.
The following is a GGA-PBE calculation of a relaxed structure of Sm4CdTe2As, from the Alexandria database.

```
data_Sm4CdTe2As
_chemical_formula_sum 'Sm4 Cd1 Te2 As1'
_cell_length_a 4.304
_cell_length_b 7.598
_cell_length_c 7.687
_cell_angle_alpha 71.41
_cell_angle_beta 90.00
_cell_angle_gamma 90.00
_symmetry_space_group_name_H-M 'P 1'
_symmetry_Int_Tables_number 1
_symmetry_space_group_name_Hall 'P 1'
loop_
_atom_site_label
_atom_site_fract_x
_atom_site_fract_y
_atom_site_fract_z
Sm1 0.000 0.742 0.742
Sm2 0.000 0.258 0.258
Sm3 0.500 0.729 0.269
Sm4 0.500 0.271 0.731
Cd1 0.500 0.500 0.000
Te1 0.000 0.000 0.000
Te2 0.500 0.000 0.500
As1 0.000 0.500 0.500
```

Its formation energy from raw total energies is -1.122 eV/atom. The calculation puts the density of states at the Fermi level at 5.851 states/eV/f.u. The calculation puts the uncorrected energy at -4.962 eV per atom. As for the total moment: 0.00 μB/f.u.

3.
The following is a GGA-PBE calculation of a relaxed structure of Cd2SnAs, from the Alexandria database.

```
data_Cd2SnAs
_chemical_formula_sum 'Cd2 Sn1 As1'
_cell_length_a 3.797
_cell_length_b 3.797
_cell_length_c 9.236
_cell_angle_alpha 78.14
_cell_angle_beta 78.14
_cell_angle_gamma 60.00
_symmetry_space_group_name_H-M 'P 1'
_symmetry_Int_Tables_number 1
_symmetry_space_group_name_Hall 'P 1'
loop_
_atom_site_label
_atom_site_fract_x
_atom_site_fract_y
_atom_site_fract_z
As1 0.500 0.500 0.500
Sn1 0.000 0.000 0.000
Cd1 0.104 0.104 0.687
Cd2 0.896 0.896 0.313
```

The calculation puts the formation energy at 0.17 eV/atom. The energy above the lowest structure with this stoichiometry comes out at 0.090 eV per atom. The calculation puts the density of states at the Fermi level at 1.894 states/eV/f.u. The calculation puts the uncorrected energy at -2.452 eV per atom. As for the total moment: 0.00 μB/f.u.

4.
The following is a GGA-PBE calculation of a relaxed structure of CdSn2As2, from the Alexandria database.

```
data_CdSn2As2
_chemical_formula_sum 'Cd1 Sn2 As2'
_cell_length_a 4.088
_cell_length_b 4.090
_cell_length_c 9.043
_cell_angle_alpha 102.73
_cell_angle_beta 90.00
_cell_angle_gamma 119.99
_symmetry_space_group_name_H-M 'P 1'
_symmetry_Int_Tables_number 1
_symmetry_space_group_name_Hall 'P 1'
loop_
_atom_site_label
_atom_site_fract_x
_atom_site_fract_y
_atom_site_fract_z
Cd1 0.000 0.000 0.000
Sn1 0.788 0.575 0.369
Sn2 0.212 0.425 0.631
As1 0.401 0.802 0.200
As2 0.599 0.198 0.800
```

The calculation puts the formation energy at -0.07 eV/atom. The energy above the lowest structure with this stoichiometry comes out at 0.000 eV per atom. The calculation puts the density of states at the Fermi level at 1.114 states/eV/f.u. The calculation puts the uncorrected energy at -3.710 eV per atom. As for the total moment: 0.00 μB/f.u.

5.
The following is a GGA-PBE calculation of a relaxed structure of Cd3SnAs, from the Alexandria database.

```
data_Cd3SnAs
_chemical_formula_sum 'Cd3 Sn1 As1'
_cell_length_a 5.283
_cell_length_b 5.283
_cell_length_c 5.283
_cell_angle_alpha 90.00
_cell_angle_beta 90.00
_cell_angle_gamma 90.00
_symmetry_space_group_name_H-M 'P 1'
_symmetry_Int_Tables_number 1
_symmetry_space_group_name_Hall 'P 1'
loop_
_atom_site_label
_atom_site_fract_x
_atom_site_fract_y
_atom_site_fract_z
As1 0.000 0.000 0.000
Sn1 0.500 0.500 0.500
Cd1 0.000 0.500 0.000
Cd2 0.000 0.000 0.500
Cd3 0.500 0.000 0.000
```

The calculation puts the formation energy at 0.36 eV/atom. The energy above the lowest structure with this stoichiometry comes out at 0.000 eV per atom. The calculation puts the density of states at the Fermi level at 4.840 states/eV/f.u. The calculation puts the uncorrected energy at -1.918 eV per atom. As for the total moment: 0.00 μB/f.u.

6.
The following is a GGA-PBE calculation of a relaxed structure of Cd3SnAs, from the Alexandria database.

```
data_Cd3SnAs
_chemical_formula_sum 'Cd3 Sn1 As1'
_cell_length_a 5.488
_cell_length_b 5.488
_cell_length_c 5.488
_cell_angle_alpha 90.00
_cell_angle_beta 90.00
_cell_angle_gamma 90.00
_symmetry_space_group_name_H-M 'P 1'
_symmetry_Int_Tables_number 1
_symmetry_space_group_name_Hall 'P 1'
loop_
_atom_site_label
_atom_site_fract_x
_atom_site_fract_y
_atom_site_fract_z
As1 0.500 0.500 0.500
Sn1 0.000 0.000 0.000
Cd1 0.000 0.500 0.000
Cd2 0.000 0.000 0.500
Cd3 0.500 0.000 0.000
```

The calculation puts the formation energy at 0.62 eV/atom. The energy above the lowest structure with this stoichiometry comes out at 0.256 eV per atom. The calculation puts the density of states at the Fermi level at 4.042 states/eV/f.u. The calculation puts the uncorrected energy at -1.662 eV per atom. As for the total moment: 1.45 μB/f.u.

7.
The following is a GGA-PBE calculation of a relaxed structure of CdSn2As2, from the Alexandria database.

```
data_CdSn2As2
_chemical_formula_sum 'Cd1 Sn2 As2'
_cell_length_a 5.533
_cell_length_b 5.533
_cell_length_c 5.802
_cell_angle_alpha 61.52
_cell_angle_beta 61.52
_cell_angle_gamma 90.00
_symmetry_space_group_name_H-M 'P 1'
_symmetry_Int_Tables_number 1
_symmetry_space_group_name_Hall 'P 1'
loop_
_atom_site_label
_atom_site_fract_x
_atom_site_fract_y
_atom_site_fract_z
As1 0.350 0.350 0.299
As2 0.650 0.650 0.701
Sn1 0.750 0.250 0.500
Sn2 0.250 0.750 0.500
Cd1 0.000 0.000 0.000
```

The calculation puts the formation energy at 0.10 eV/atom. The energy above the lowest structure with this stoichiometry comes out at 0.166 eV per atom. The calculation puts the density of states at the Fermi level at 1.451 states/eV/f.u. The calculation puts the uncorrected energy at -3.545 eV per atom. As for the total moment: 0.00 μB/f.u.

8.
The following is a GGA-PBE calculation of a relaxed structure of CdSn2As2, from the Alexandria database.

```
data_CdSn2As2
_chemical_formula_sum 'Cd2 Sn4 As4'
_cell_length_a 7.972
_cell_length_b 7.972
_cell_length_c 3.840
_cell_angle_alpha 90.00
_cell_angle_beta 90.00
_cell_angle_gamma 90.00
_symmetry_space_group_name_H-M 'P 1'
_symmetry_Int_Tables_number 1
_symmetry_space_group_name_Hall 'P 1'
loop_
_atom_site_label
_atom_site_fract_x
_atom_site_fract_y
_atom_site_fract_z
As1 0.340 0.840 0.000
As2 0.840 0.660 0.000
As3 0.660 0.160 0.000
As4 0.160 0.340 0.000
Sn1 0.150 0.650 0.500
Sn2 0.650 0.850 0.500
Sn3 0.850 0.350 0.500
Sn4 0.350 0.150 0.500
Cd1 0.000 0.000 0.000
Cd2 0.500 0.500 0.000
```

The calculation puts the formation energy at 0.10 eV/atom. The energy above the lowest structure with this stoichiometry comes out at 0.165 eV per atom. The calculation puts the density of states at the Fermi level at 2.277 states/eV/f.u. The calculation puts the uncorrected energy at -3.545 eV per atom. As for the total moment: 0.00 μB/f.u.

9.
The following is a GGA-PBE calculation of a relaxed structure of Cd2SnAs, from the Alexandria database.

```
data_Cd2SnAs
_chemical_formula_sum 'Cd4 Sn2 As2'
_cell_length_a 8.045
_cell_length_b 8.045
_cell_length_c 6.443
_cell_angle_alpha 51.37
_cell_angle_beta 51.37
_cell_angle_gamma 90.00
_symmetry_space_group_name_H-M 'P 1'
_symmetry_Int_Tables_number 1
_symmetry_space_group_name_Hall 'P 1'
loop_
_atom_site_label
_atom_site_fract_x
_atom_site_fract_y
_atom_site_fract_z
As1 0.500 0.500 0.000
As2 0.250 0.750 0.500
Sn1 0.000 0.000 0.000
Sn2 0.750 0.250 0.500
Cd1 0.594 0.125 0.250
Cd2 0.156 0.625 0.250
Cd3 0.375 0.406 0.750
Cd4 0.875 0.844 0.750
```

The calculation puts the formation energy at 0.08 eV/atom. The energy above the lowest structure with this stoichiometry comes out at 0.000 eV per atom. The calculation puts the density of states at the Fermi level at 2.170 states/eV/f.u. The calculation puts the uncorrected energy at -2.542 eV per atom. As for the total moment: 0.00 μB/f.u.

10.
The following is a GGA-PBE calculation of a relaxed structure of CdSn2As2, from the Alexandria database.

```
data_CdSn2As2
_chemical_formula_sum 'Cd1 Sn2 As2'
_cell_length_a 4.197
_cell_length_b 4.197
_cell_length_c 8.152
_cell_angle_alpha 75.08
_cell_angle_beta 75.08
_cell_angle_gamma 90.00
_symmetry_space_group_name_H-M 'P 1'
_symmetry_Int_Tables_number 1
_symmetry_space_group_name_Hall 'P 1'
loop_
_atom_site_label
_atom_site_fract_x
_atom_site_fract_y
_atom_site_fract_z
As1 0.750 0.250 0.500
As2 0.250 0.750 0.500
Sn1 0.386 0.386 0.228
Sn2 0.614 0.614 0.772
Cd1 0.000 0.000 0.000
```

The calculation puts the formation energy at 0.17 eV/atom. The energy above the lowest structure with this stoichiometry comes out at 0.232 eV per atom. The calculation puts the density of states at the Fermi level at 2.077 states/eV/f.u. The calculation puts the uncorrected energy at -3.479 eV per atom. As for the total moment: 0.00 μB/f.u.